Record 1
# PBE-GGA NaPd6Au8, relaxed
data_NaPd6Au8
_cell_length_a 8.2246
_cell_length_b 8.2246
_cell_length_c 4.8488
_cell_angle_alpha 90.00
_cell_angle_beta 90.00
_cell_angle_gamma 120.00
_space_group_name_H-M_alt 'P -3'
_space_group_IT_number 147
loop_
_space_group_symop_operation_xyz
'x,y,z'
'-x,-y,-z'
'-y,x-y,z'
'y,-x+y,-z'
'-x+y,-x,z'
'x-y,x,-z'
loop_
_atom_site_label
_atom_site_fract_x
_atom_site_fract_y
_atom_site_fract_z
Na1 0.0000 0.0000 0.0000
Pd1 0.1407 0.4681 0.9168
Au1 0.0125 0.6890 0.5903
Au2 0.3333 0.6667 0.4030
# N(E_F): 9.47 states/eV/cell
# calculated total energy: -3.883 eV/atom
# energy of formation: 0.03 eV per atom

=====

Record 2
# PBE-GGA Ca2HgPd3, relaxed
data_Ca2HgPd3
_cell_length_a 13.516
_cell_length_b 4.266
_cell_length_c 5.188
_cell_angle_alpha 90.00
_cell_angle_beta 106.55
_cell_angle_gamma 90.00
_space_group_name_H-M_alt 'C 1 2/m 1'
_space_group_IT_number 12
loop_
_space_group_symop_operation_xyz
'x,y,z'
'-x,-y,-z'
'-x,y,-z'
'x,-y,z'
'x+1/2,y+1/2,z'
'-x+1/2,-y+1/2,-z'
'-x+1/2,y+1/2,-z'
'x+1/2,-y+1/2,z'
loop_
_atom_site_label
_atom_site_fract_x
_atom_site_fract_y
_atom_site_fract_z
Ca1 0.141 0.000 0.448
Hg1 0.000 0.500 0.000
Pd1 0.000 0.500 0.500
Pd2 0.192 0.500 0.896
# N(E_F): 4.78 states/eV/cell
# calculated total energy: -3.741 eV/atom
# energy of formation: -0.43 eV per atom

=====

Record 3
# PBE-GGA Nd3In4Hg2, relaxed
data_Nd3In4Hg2
_cell_length_a 7.9240
_cell_length_b 7.9240
_cell_length_c 4.5078
_cell_angle_alpha 90.00
_cell_angle_beta 90.00
_cell_angle_gamma 120.00
_space_group_name_H-M_alt 'P -6 2 m'
_space_group_IT_number 189
_space_group_name_Hall 'P -6 -2'
loop_
_atom_site_label
_atom_site_fract_x
_atom_site_fract_y
_atom_site_fract_z
Nd1 0.0000 0.5955 0.0000
In1 0.0000 0.0000 0.0000
In2 0.0000 0.2572 0.5000
Hg1 0.3333 0.6667 0.5000
# N(E_F): 5.17 states/eV/cell
# calculated total energy: -3.305 eV/atom
# energy of formation: -0.43 eV per atom

=====

Record 4
# PBE-GGA RbCd4, relaxed
data_RbCd4
_cell_length_a 7.082
_cell_length_b 7.082
_cell_length_c 7.082
_cell_angle_alpha 90.00
_cell_angle_beta 90.00
_cell_angle_gamma 90.00
_space_group_name_H-M_alt 'P m -3 m'
_space_group_IT_number 221
_space_group_name_Hall '-P 4 2 3'
loop_
_atom_site_label
_atom_site_fract_x
_atom_site_fract_y
_atom_site_fract_z
Rb1 0.000 0.000 0.000
Cd1 0.000 0.000 0.500
Cd2 0.500 0.500 0.500
# N(E_F): 3.50 states/eV/cell
# calculated total energy: -0.383 eV/atom
# energy of formation: 0.54 eV per atom

=====

Record 5
# PBE-GGA HoTmZnCd, relaxed
data_HoTmZnCd
_cell_length_a 3.562
_cell_length_b 3.562
_cell_length_c 7.500
_cell_angle_alpha 90.00
_cell_angle_beta 90.00
_cell_angle_gamma 90.00
_space_group_name_H-M_alt 'P 4 m m'
_space_group_IT_number 99
loop_
_space_group_symop_operation_xyz
'x,y,z'
'-y,x,z'
'-x,-y,z'
'y,-x,z'
'-x,y,z'
'y,x,z'
'x,-y,z'
'-y,-x,z'
loop_
_atom_site_label
_atom_site_fract_x
_atom_site_fract_y
_atom_site_fract_z
Ho1 0.000 0.000 0.000
Tm1 0.000 0.000 0.461
Zn1 0.500 0.500 0.235
Cd1 0.500 0.500 0.727
# N(E_F): 3.66 states/eV/cell
# calculated total energy: -3.142 eV/atom
# energy of formation: -0.33 eV per atom

=====

Record 6
# PBE-GGA BaBiRh, relaxed
data_BaBiRh
_cell_length_a 6.872
_cell_length_b 7.010
_cell_length_c 7.782
_cell_angle_alpha 90.00
_cell_angle_beta 93.04
_cell_angle_gamma 90.00
_space_group_name_H-M_alt 'C 1 2/m 1'
_space_group_IT_number 12
loop_
_space_group_symop_operation_xyz
'x,y,z'
'-x,-y,-z'
'-x,y,-z'
'x,-y,z'
'x+1/2,y+1/2,z'
'-x+1/2,-y+1/2,-z'
'-x+1/2,y+1/2,-z'
'x+1/2,-y+1/2,z'
loop_
_atom_site_label
_atom_site_fract_x
_atom_site_fract_y
_atom_site_fract_z
Ba1 0.247 0.000 0.193
Bi1 0.229 0.000 0.671
Rh1 0.000 0.292 0.500
# N(E_F): 11.13 states/eV/cell
# calculated total energy: -4.875 eV/atom
# energy of formation: -0.49 eV per atom

=====

Record 7
# PBE-GGA Tl2TeSe, relaxed
data_Tl2TeSe
_cell_length_a 3.671
_cell_length_b 5.934
_cell_length_c 11.036
_cell_angle_alpha 90.00
_cell_angle_beta 90.00
_cell_angle_gamma 90.00
_space_group_name_H-M_alt 'I m m 2'
_space_group_IT_number 44
loop_
_space_group_symop_operation_xyz
'x,y,z'
'-x,-y,z'
'-x,y,z'
'x,-y,z'
'x+1/2,y+1/2,z+1/2'
'-x+1/2,-y+1/2,z+1/2'
'-x+1/2,y+1/2,z+1/2'
'x+1/2,-y+1/2,z+1/2'
loop_
_atom_site_label
_atom_site_fract_x
_atom_site_fract_y
_atom_site_fract_z
Tl1 0.000 0.000 0.000
Tl2 0.000 0.500 0.215
Te1 0.000 0.000 0.436
Se1 0.000 0.500 0.729
# energy relative to the elements, uncorrected: -0.101 eV/atom
# N(E_F): 5.31 states/eV/cell
# calculated total energy: -2.941 eV/atom

=====

Record 8
# PBE-GGA BaSr8Au4, relaxed
data_BaSr8Au4
_cell_length_a 22.081
_cell_length_b 4.537
_cell_length_c 15.047
_cell_angle_alpha 90.00
_cell_angle_beta 130.55
_cell_angle_gamma 90.00
_space_group_name_H-M_alt 'C 1 2/m 1'
_space_group_IT_number 12
loop_
_space_group_symop_operation_xyz
'x,y,z'
'-x,-y,-z'
'-x,y,-z'
'x,-y,z'
'x+1/2,y+1/2,z'
'-x+1/2,-y+1/2,-z'
'-x+1/2,y+1/2,-z'
'x+1/2,-y+1/2,z'
loop_
_atom_site_label
_atom_site_fract_x
_atom_site_fract_y
_atom_site_fract_z
Ba1 0.000 0.000 0.000
Sr1 0.039 0.000 0.741
Sr2 0.131 0.500 0.591
Sr3 0.168 0.500 0.340
Sr4 0.206 0.500 0.071
Au1 0.145 0.000 0.462
Au2 0.165 0.500 0.827
# N(E_F): 20.66 states/eV/cell
# calculated total energy: -2.692 eV/atom
# energy of formation: -0.50 eV per atom